# BaLaSn2 PBE-GGA optimized geometry
# Spin magnetization   0.0 μB per formula unit
# Calculated volume   36.519 Å³ per atom
# Energy   -4.02 eV per atom
data_BaLaSn2
_cell_length_a 9.099
_cell_length_b 9.099
_cell_length_c 7.058
_cell_angle_alpha 90.00
_cell_angle_beta 90.00
_cell_angle_gamma 90.00
_space_group_name_H-M_alt 'I -4 2 d'
_space_group_IT_number 122
_space_group_name_Hall 'I -4 2bw'
loop_
_atom_site_label
_atom_site_type_symbol
_atom_site_fract_x
_atom_site_fract_y
_atom_site_fract_z
Ba1 Ba 0.000 0.000 0.000
La1 La 0.000 0.000 0.500
Sn1 Sn 0.233 0.250 0.625

=====

# BaLaSn PBE-GGA optimized geometry
# Spin magnetization   0.5 μB per formula unit
# Calculated volume   36.288 Å³ per atom
# Energy   -3.83 eV per atom
data_BaLaSn
_cell_length_a 3.609
_cell_length_b 6.376
_cell_length_c 18.924
_cell_angle_alpha 90.00
_cell_angle_beta 90.00
_cell_angle_gamma 90.00
_space_group_name_H-M_alt 'I m m m'
_space_group_IT_number 71
_space_group_name_Hall '-I 2 2'
loop_
_atom_site_label
_atom_site_type_symbol
_atom_site_fract_x
_atom_site_fract_y
_atom_site_fract_z
Ba1 Ba 0.000 0.246 0.000
La1 La 0.000 0.500 0.183
Sn1 Sn 0.000 0.500 0.353

=====

What is the formula in the second record? BaLaSn